# Pm2SmTh4 (PBE, relaxed)
# - Energy of formation from the pure elements: 79 meV per atom
# - Spin magnetization: 0.000 μB/atom
# - Space group: No. 65
data_Pm2SmTh4
_chemical_formula_sum 'Pm2 Sm1 Th4'
_cell_length_a 18.3324
_cell_length_b 18.3324
_cell_length_c 3.5876
_cell_angle_alpha 90.00
_cell_angle_beta 90.00
_cell_angle_gamma 168.76
_space_group_name_H-M_alt 'P 1'
_space_group_IT_number 1
loop_
_space_group_symop_operation_xyz
'x,y,z'
loop_
_atom_site_label
_atom_site_type_symbol
_atom_site_fract_x
_atom_site_fract_y
_atom_site_fract_z
Pm1 Pm 0.2063 0.7937 0.0000
Pm2 Pm 0.7937 0.2063 0.0000
Sm1 Sm 0.5000 0.5000 0.5000
Th1 Th 0.0717 0.9283 0.0000
Th2 Th 0.3618 0.6382 0.5000
Th3 Th 0.6382 0.3618 0.5000
Th4 Th 0.9283 0.0717 0.0000

=====

# Pm3SmTh (PBE, relaxed)
# - Energy of formation from the pure elements: 45 meV per atom
# - Spin magnetization: 0.000 μB/atom
# - Space group: No. 2
data_Pm3SmTh
_chemical_formula_sum 'Pm6 Sm2 Th2'
_cell_length_a 6.3012
_cell_length_b 7.2566
_cell_length_c 8.1247
_cell_angle_alpha 102.94
_cell_angle_beta 97.44
_cell_angle_gamma 106.80
_space_group_name_H-M_alt 'P 1'
_space_group_IT_number 1
loop_
_space_group_symop_operation_xyz
'x,y,z'
loop_
_atom_site_label
_atom_site_type_symbol
_atom_site_fract_x
_atom_site_fract_y
_atom_site_fract_z
Pm1 Pm 0.0023 0.2451 0.4991
Pm2 Pm 0.2000 0.6521 0.9020
Pm3 Pm 0.3971 0.0477 0.2926
Pm4 Pm 0.6029 0.9523 0.7074
Pm5 Pm 0.8000 0.3479 0.0980
Pm6 Pm 0.9977 0.7549 0.5009
Sm1 Sm 0.4021 0.5478 0.2926
Sm2 Sm 0.5979 0.4522 0.7074
Th1 Th 0.1947 0.1459 0.9017
Th2 Th 0.8053 0.8541 0.0983

=====

# Pm3Sm4Th (PBE, relaxed)
# - Energy of formation from the pure elements: 33 meV per atom
# - Spin magnetization: 0.000 μB/atom
# - Space group: No. 53
data_Pm3Sm4Th
_chemical_formula_sum 'Pm6 Sm8 Th2'
_cell_length_a 10.3098
_cell_length_b 7.2504
_cell_length_c 7.2421
_cell_angle_alpha 90.00
_cell_angle_beta 90.00
_cell_angle_gamma 90.00
_space_group_name_H-M_alt 'P 1'
_space_group_IT_number 1
loop_
_space_group_symop_operation_xyz
'x,y,z'
loop_
_atom_site_label
_atom_site_type_symbol
_atom_site_fract_x
_atom_site_fract_y
_atom_site_fract_z
Pm1 Pm 0.0000 0.0000 0.0000
Pm2 Pm 0.2500 0.2550 0.2500
Pm3 Pm 0.2500 0.7450 0.7500
Pm4 Pm 0.5000 0.0000 0.5000
Pm5 Pm 0.7500 0.2550 0.2500
Pm6 Pm 0.7500 0.7450 0.7500
Sm1 Sm 0.0000 0.0000 0.5000
Sm2 Sm 0.0000 0.5000 0.5000
Sm3 Sm 0.2500 0.2556 0.7500
Sm4 Sm 0.2500 0.7444 0.2500
Sm5 Sm 0.5000 0.0000 0.0000
Sm6 Sm 0.5000 0.5000 0.0000
Sm7 Sm 0.7500 0.2556 0.7500
Sm8 Sm 0.7500 0.7444 0.2500
Th1 Th 0.0000 0.5000 0.0000
Th2 Th 0.5000 0.5000 0.5000

=====

# Pm2Sm6Th (PBE, relaxed)
# - Energy of formation from the pure elements: 69 meV per atom
# - Spin magnetization: 0.000 μB/atom
# - Space group: No. 187
data_Pm2Sm6Th
_chemical_formula_sum 'Pm2 Sm6 Th1'
_cell_length_a 3.6258
_cell_length_b 3.6258
_cell_length_c 27.0340
_cell_angle_alpha 90.00
_cell_angle_beta 90.00
_cell_angle_gamma 120.00
_space_group_name_H-M_alt 'P 1'
_space_group_IT_number 1
loop_
_space_group_symop_operation_xyz
'x,y,z'
loop_
_atom_site_label
_atom_site_type_symbol
_atom_site_fract_x
_atom_site_fract_y
_atom_site_fract_z
Pm1 Pm 0.0000 0.0000 0.1701
Pm2 Pm 0.0000 0.0000 0.8299
Sm1 Sm 0.0000 0.0000 0.3916
Sm2 Sm 0.0000 0.0000 0.6084
Sm3 Sm 0.6667 0.3333 0.0636
Sm4 Sm 0.6667 0.3333 0.2824
Sm5 Sm 0.6667 0.3333 0.7176
Sm6 Sm 0.6667 0.3333 0.9364
Th1 Th 0.6667 0.3333 0.5000

=====

# Pm3Sm4Th (PBE, relaxed)
# - Energy of formation from the pure elements: 160 meV per atom
# - Spin magnetization: 0.000 μB/atom
# - Space group: No. 12
data_Pm3Sm4Th
_chemical_formula_sum 'Pm3 Sm4 Th1'
_cell_length_a 11.9450
_cell_length_b 11.9450
_cell_length_c 6.9291
_cell_angle_alpha 106.84
_cell_angle_beta 106.84
_cell_angle_gamma 16.82
_space_group_name_H-M_alt 'P 1'
_space_group_IT_number 1
loop_
_space_group_symop_operation_xyz
'x,y,z'
loop_
_atom_site_label
_atom_site_type_symbol
_atom_site_fract_x
_atom_site_fract_y
_atom_site_fract_z
Pm1 Pm 0.0000 0.0000 0.0000
Pm2 Pm 0.1229 0.1229 0.8600
Pm3 Pm 0.8771 0.8771 0.1400
Sm1 Sm 0.1229 0.1229 0.3855
Sm2 Sm 0.2576 0.2576 0.2588
Sm3 Sm 0.7424 0.7424 0.7412
Sm4 Sm 0.8771 0.8771 0.6145
Th1 Th 0.5000 0.5000 0.5000

=====

# Pm4Sm3Th (PBE, relaxed)
# - Energy of formation from the pure elements: 389 meV per atom
# - Spin magnetization: 0.002 μB/atom
# - Space group: No. 65
data_Pm4Sm3Th
_chemical_formula_sum 'Pm4 Sm3 Th1'
_cell_length_a 9.0091
_cell_length_b 9.0091
_cell_length_c 3.4394
_cell_angle_alpha 90.00
_cell_angle_beta 90.00
_cell_angle_gamma 97.01
_space_group_name_H-M_alt 'P 1'
_space_group_IT_number 1
loop_
_space_group_symop_operation_xyz
'x,y,z'
loop_
_atom_site_label
_atom_site_type_symbol
_atom_site_fract_x
_atom_site_fract_y
_atom_site_fract_z
Pm1 Pm 0.2409 0.2409 0.5000
Pm2 Pm 0.2494 0.7506 0.0000
Pm3 Pm 0.7506 0.2494 0.0000
Pm4 Pm 0.7591 0.7591 0.5000
Sm1 Sm 0.0000 0.5000 0.5000
Sm2 Sm 0.5000 0.0000 0.5000
Sm3 Sm 0.5000 0.5000 0.0000
Th1 Th 0.0000 0.0000 0.0000

=====

# PmSm6Th (PBE, relaxed)
# - Energy of formation from the pure elements: 203 meV per atom
# - Spin magnetization: 0.000 μB/atom
# - Space group: No. 2
data_PmSm6Th
_chemical_formula_sum 'Pm1 Sm6 Th1'
_cell_length_a 6.6300
_cell_length_b 6.8402
_cell_length_c 6.8865
_cell_angle_alpha 61.30
_cell_angle_beta 80.80
_cell_angle_gamma 89.45
_space_group_name_H-M_alt 'P 1'
_space_group_IT_number 1
loop_
_space_group_symop_operation_xyz
'x,y,z'
loop_
_atom_site_label
_atom_site_type_symbol
_atom_site_fract_x
_atom_site_fract_y
_atom_site_fract_z
Pm1 Pm 0.0000 0.0000 0.0000
Sm1 Sm 0.2346 0.5753 0.5200
Sm2 Sm 0.2542 0.5426 0.0060
Sm3 Sm 0.2707 0.0912 0.4849
Sm4 Sm 0.7293 0.9088 0.5151
Sm5 Sm 0.7458 0.4574 0.9940
Sm6 Sm 0.7654 0.4247 0.4800
Th1 Th 0.5000 0.0000 0.0000

=====

# Pm3Sm6Th2 (PBE, relaxed)
# - Energy of formation from the pure elements: 21 meV per atom
# - Spin magnetization: 0.000 μB/atom
# - Space group: No. 166
data_Pm3Sm6Th2
_chemical_formula_sum 'Pm3 Sm6 Th2'
_cell_length_a 32.6269
_cell_length_b 32.6269
_cell_length_c 32.6269
_cell_angle_alpha 6.37
_cell_angle_beta 6.37
_cell_angle_gamma 6.37
_space_group_name_H-M_alt 'P 1'
_space_group_IT_number 1
loop_
_space_group_symop_operation_xyz
'x,y,z'
loop_
_atom_site_label
_atom_site_type_symbol
_atom_site_fract_x
_atom_site_fract_y
_atom_site_fract_z
Pm1 Pm 0.0000 0.0000 0.0000
Pm2 Pm 0.2726 0.2726 0.2726
Pm3 Pm 0.7274 0.7274 0.7274
Sm1 Sm 0.0921 0.0921 0.0921
Sm2 Sm 0.1827 0.1827 0.1827
Sm3 Sm 0.3639 0.3639 0.3639
Sm4 Sm 0.6361 0.6361 0.6361
Sm5 Sm 0.8173 0.8173 0.8173
Sm6 Sm 0.9079 0.9079 0.9079
Th1 Th 0.4549 0.4549 0.4549
Th2 Th 0.5451 0.5451 0.5451

=====

# PmSm5Th (PBE, relaxed)
# - Energy of formation from the pure elements: 336 meV per atom
# - Spin magnetization: 0.000 μB/atom
# - Space group: No. 123
data_PmSm5Th
_chemical_formula_sum 'Pm1 Sm5 Th1'
_cell_length_a 5.7387
_cell_length_b 5.7387
_cell_length_c 7.7525
_cell_angle_alpha 90.00
_cell_angle_beta 90.00
_cell_angle_gamma 90.00
_space_group_name_H-M_alt 'P 1'
_space_group_IT_number 1
loop_
_space_group_symop_operation_xyz
'x,y,z'
loop_
_atom_site_label
_atom_site_type_symbol
_atom_site_fract_x
_atom_site_fract_y
_atom_site_fract_z
Pm1 Pm 0.0000 0.0000 0.0000
Sm1 Sm 0.0000 0.5000 0.2795
Sm2 Sm 0.0000 0.5000 0.7205
Sm3 Sm 0.5000 0.0000 0.2795
Sm4 Sm 0.5000 0.0000 0.7205
Sm5 Sm 0.5000 0.5000 0.0000
Th1 Th 0.0000 0.0000 0.5000

=====

# Pm5Sm2Th4 (PBE, relaxed)
# - Energy of formation from the pure elements: 124 meV per atom
# - Spin magnetization: 0.000 μB/atom
# - Space group: No. 12
data_Pm5Sm2Th4
_chemical_formula_sum 'Pm5 Sm2 Th4'
_cell_length_a 11.8960
_cell_length_b 11.8960
_cell_length_c 8.9521
_cell_angle_alpha 92.80
_cell_angle_beta 92.80
_cell_angle_gamma 16.99
_space_group_name_H-M_alt 'P 1'
_space_group_IT_number 1
loop_
_space_group_symop_operation_xyz
'x,y,z'
loop_
_atom_site_label
_atom_site_type_symbol
_atom_site_fract_x
_atom_site_fract_y
_atom_site_fract_z
Pm1 Pm 0.0000 0.0000 0.0000
Pm2 Pm 0.3638 0.3638 0.9189
Pm3 Pm 0.4043 0.4043 0.2953
Pm4 Pm 0.5957 0.5957 0.7047
Pm5 Pm 0.6362 0.6362 0.0811
Sm1 Sm 0.2252 0.2252 0.8204
Sm2 Sm 0.7748 0.7748 0.1796
Th1 Th 0.1840 0.1840 0.4369
Th2 Th 0.4491 0.4491 0.6472
Th3 Th 0.5509 0.5509 0.3528
Th4 Th 0.8160 0.8160 0.5631

=====

# Pm4SmTh3 (PBE, relaxed)
# - Energy of formation from the pure elements: 42 meV per atom
# - Spin magnetization: 0.000 μB/atom
# - Space group: No. 59
data_Pm4SmTh3
_chemical_formula_sum 'Pm8 Sm2 Th6'
_cell_length_a 5.0957
_cell_length_b 10.2158
_cell_length_c 10.2988
_cell_angle_alpha 90.00
_cell_angle_beta 90.00
_cell_angle_gamma 90.00
_space_group_name_H-M_alt 'P 1'
_space_group_IT_number 1
loop_
_space_group_symop_operation_xyz
'x,y,z'
loop_
_atom_site_label
_atom_site_type_symbol
_atom_site_fract_x
_atom_site_fract_y
_atom_site_fract_z
Pm1 Pm 0.2500 0.0020 0.1316
Pm2 Pm 0.2500 0.2500 0.8716
Pm3 Pm 0.2500 0.4980 0.1316
Pm4 Pm 0.2500 0.7500 0.8642
Pm5 Pm 0.7500 0.2500 0.1358
Pm6 Pm 0.7500 0.5020 0.8684
Pm7 Pm 0.7500 0.7500 0.1284
Pm8 Pm 0.7500 0.9980 0.8684
Sm1 Sm 0.2500 0.7500 0.3805
Sm2 Sm 0.7500 0.2500 0.6195
Th1 Th 0.2500 0.2500 0.3788
Th2 Th 0.2500 0.5027 0.6198
Th3 Th 0.2500 0.9973 0.6198
Th4 Th 0.7500 0.0027 0.3802
Th5 Th 0.7500 0.4973 0.3802
Th6 Th 0.7500 0.7500 0.6212

=====

# PmSm2Th (PBE, relaxed)
# - Energy of formation from the pure elements: 55 meV per atom
# - Spin magnetization: 0.000 μB/atom
# - Space group: No. 123
data_PmSm2Th
_chemical_formula_sum 'Pm1 Sm2 Th1'
_cell_length_a 5.1132
_cell_length_b 5.1132
_cell_length_c 5.1117
_cell_angle_alpha 90.00
_cell_angle_beta 90.00
_cell_angle_gamma 90.00
_space_group_name_H-M_alt 'P 1'
_space_group_IT_number 1
loop_
_space_group_symop_operation_xyz
'x,y,z'
loop_
_atom_site_label
_atom_site_type_symbol
_atom_site_fract_x
_atom_site_fract_y
_atom_site_fract_z
Pm1 Pm 0.0000 0.0000 0.0000
Sm1 Sm 0.0000 0.5000 0.5000
Sm2 Sm 0.5000 0.0000 0.5000
Th1 Th 0.5000 0.5000 0.0000

=====

> Among the records above, which one has the highest energy of formation from the pure elements?

Pm4Sm3Th

=====

> Which value of spin magnetization does entry 4 give?

0.000 μB/atom

=====

Repeat the third record exactly.
# Pm3Sm4Th (PBE, relaxed)
# - Energy of formation from the pure elements: 33 meV per atom
# - Spin magnetization: 0.000 μB/atom
# - Space group: No. 53
data_Pm3Sm4Th
_chemical_formula_sum 'Pm6 Sm8 Th2'
_cell_length_a 10.3098
_cell_length_b 7.2504
_cell_length_c 7.2421
_cell_angle_alpha 90.00
_cell_angle_beta 90.00
_cell_angle_gamma 90.00
_space_group_name_H-M_alt 'P 1'
_space_group_IT_number 1
loop_
_space_group_symop_operation_xyz
'x,y,z'
loop_
_atom_site_label
_atom_site_type_symbol
_atom_site_fract_x
_atom_site_fract_y
_atom_site_fract_z
Pm1 Pm 0.0000 0.0000 0.0000
Pm2 Pm 0.2500 0.2550 0.2500
Pm3 Pm 0.2500 0.7450 0.7500
Pm4 Pm 0.5000 0.0000 0.5000
Pm5 Pm 0.7500 0.2550 0.2500
Pm6 Pm 0.7500 0.7450 0.7500
Sm1 Sm 0.0000 0.0000 0.5000
Sm2 Sm 0.0000 0.5000 0.5000
Sm3 Sm 0.2500 0.2556 0.7500
Sm4 Sm 0.2500 0.7444 0.2500
Sm5 Sm 0.5000 0.0000 0.0000
Sm6 Sm 0.5000 0.5000 0.0000
Sm7 Sm 0.7500 0.2556 0.7500
Sm8 Sm 0.7500 0.7444 0.2500
Th1 Th 0.0000 0.5000 0.0000
Th2 Th 0.5000 0.5000 0.5000